[1]
# PBE Cr2Tc, relaxed
# - E above lowest polymorph: 0.043 eV per atom
# - Formation enthalpy at 0 K: 0.07 eV/atom
# - Symmetry: P-3m1, No. 164
# - Electronic total energy: -29.41 eV per cell
data_Cr2Tc
_chemical_formula_sum 'Cr2 Tc1'
_cell_length_a 4.132
_cell_length_b 4.132
_cell_length_c 2.582
_cell_angle_alpha 90.00
_cell_angle_beta 90.00
_cell_angle_gamma 120.00
_symmetry_space_group_name_H-M 'P 1'
_symmetry_Int_Tables_number 1
_symmetry_space_group_name_Hall 'P 1'
loop_
_atom_site_label
_atom_site_type_symbol
_atom_site_fract_x
_atom_site_fract_y
_atom_site_fract_z
_atom_site_occupancy
Tc1 Tc 0.000 0.000 0.000 1
Cr1 Cr 0.333 0.667 0.348 1
Cr2 Cr 0.667 0.333 0.652 1

***

[2]
# PBE YBeSb2, relaxed
# - Energy relative to the elements, uncorrected: -102 meV/atom
# - Symmetry: C2/m, No. 12
# - Electronic total energy: -18.84 eV per cell
data_YBeSb2
_chemical_formula_sum 'Y1 Be1 Sb2'
_cell_length_a 5.577
_cell_length_b 5.577
_cell_length_c 4.837
_cell_angle_alpha 64.93
_cell_angle_beta 64.93
_cell_angle_gamma 43.11
_symmetry_space_group_name_H-M 'P 1'
_symmetry_Int_Tables_number 1
_symmetry_space_group_name_Hall 'P 1'
loop_
_atom_site_label
_atom_site_type_symbol
_atom_site_fract_x
_atom_site_fract_y
_atom_site_fract_z
_atom_site_occupancy
Sb1 Sb 0.987 0.987 0.014 1
Sb2 Sb 0.513 0.513 0.486 1
Y1 Y 0.750 0.750 0.750 1
Be1 Be 0.250 0.250 0.250 1

***

[3]
# PBE NbGe3Te, relaxed
# - E above lowest polymorph: 0.000 eV per atom
# - Energy relative to the elements, uncorrected: 498 meV/atom
# - Symmetry: Pm-3m, No. 221
# - Electronic total energy: -24.57 eV per cell
data_NbGe3Te
_chemical_formula_sum 'Nb1 Ge3 Te1'
_cell_length_a 5.094
_cell_length_b 5.094
_cell_length_c 5.094
_cell_angle_alpha 90.00
_cell_angle_beta 90.00
_cell_angle_gamma 90.00
_symmetry_space_group_name_H-M 'P 1'
_symmetry_Int_Tables_number 1
_symmetry_space_group_name_Hall 'P 1'
loop_
_atom_site_label
_atom_site_type_symbol
_atom_site_fract_x
_atom_site_fract_y
_atom_site_fract_z
_atom_site_occupancy
Ge1 Ge 0.500 0.000 0.000 1
Ge2 Ge 0.000 0.500 0.000 1
Te1 Te 0.500 0.500 0.500 1
Ge3 Ge 0.000 0.000 0.500 1
Nb1 Nb 0.000 0.000 0.000 1

***

[4]
# PBE CeTmRuPt, relaxed
# - Formation enthalpy at 0 K: -0.73 eV/atom
# - Symmetry: F-43m, No. 216
# - Electronic total energy: -28.63 eV per cell
data_CeTmRuPt
_chemical_formula_sum 'Ce1 Tm1 Ru1 Pt1'
_cell_length_a 4.895
_cell_length_b 4.895
_cell_length_c 4.895
_cell_angle_alpha 60.00
_cell_angle_beta 60.00
_cell_angle_gamma 60.00
_symmetry_space_group_name_H-M 'P 1'
_symmetry_Int_Tables_number 1
_symmetry_space_group_name_Hall 'P 1'
loop_
_atom_site_label
_atom_site_type_symbol
_atom_site_fract_x
_atom_site_fract_y
_atom_site_fract_z
_atom_site_occupancy
Pt1 Pt 0.750 0.750 0.750 1
Ru1 Ru 0.250 0.250 0.250 1
Ce1 Ce 0.000 0.000 0.000 1
Tm1 Tm 0.500 0.500 0.500 1

***

[5]
# PBE TlTe2As, relaxed
# - Energy relative to the elements, uncorrected: -86 meV/atom
# - Symmetry: Cm, No. 8
# - Electronic total energy: -13.64 eV per cell
data_TlTe2As
_chemical_formula_sum 'Tl1 Te2 As1'
_cell_length_a 8.034
_cell_length_b 8.034
_cell_length_c 4.304
_cell_angle_alpha 102.94
_cell_angle_beta 102.94
_cell_angle_gamma 29.76
_symmetry_space_group_name_H-M 'P 1'
_symmetry_Int_Tables_number 1
_symmetry_space_group_name_Hall 'P 1'
loop_
_atom_site_label
_atom_site_type_symbol
_atom_site_fract_x
_atom_site_fract_y
_atom_site_fract_z
_atom_site_occupancy
Te1 Te 0.234 0.234 0.203 1
Te2 Te 0.947 0.947 0.947 1
Tl1 Tl 0.543 0.543 0.519 1
As1 As 0.776 0.776 0.831 1

***

Number 1: mass density 8.78 Mg/m³. Number 2: mass density 6.19 Mg/m³. Number 3: mass density 5.51 Mg/m³. Number 4: mass density 12.12 Mg/m³. Number 5: mass density 6.62 Mg/m³.